# 1
! CeSmBiN2 | Alexandria via LeMat-Bulk | PBE-GGA | optimized geometry; values from VASP
! uncorrected formation energy = -1076 meV/atom
! calculated volume = 234.1 Å³ per cell
! space-group type = Cmcm, No. 63
! density of states at the Fermi level = 8.83 states/eV per cell
! total energy = -73.1 eV/cell
&SYSTEM
  ibrav = 0, nat = 10, ntyp = 4
/
ATOMIC_SPECIES
Ce 140.12 Ce.upf
Sm 150.36 Sm.upf
Bi 208.98 Bi.upf
N 14.01 N.upf
CELL_PARAMETERS angstrom
2.820 -7.342 0.000
2.820 7.342 0.000
0.000 0.000 5.652
ATOMIC_POSITIONS angstrom
Ce 2.820 6.293 4.239
Ce 2.820 -6.293 1.413
Sm 2.820 1.132 4.239
Sm 2.820 -1.132 1.413
Bi 2.820 3.654 1.413
Bi 2.820 -3.654 4.239
N 1.356 0.000 0.000
N 1.356 0.000 2.826
N 4.285 0.000 0.000
N 4.285 0.000 2.826

=====

# 2
! Ce3InHg4 | Alexandria via LeMat-Bulk | PBE-GGA | optimized geometry; values from VASP
! calculated volume = 442.9 Å³ per cell
! space-group type = Immm, No. 71
! density of states at the Fermi level = 42.17 states/eV per cell
! total energy = -46.7 eV/cell
! calculated formation energy = -0.20 eV/atom
&SYSTEM
  ibrav = 0, nat = 16, ntyp = 3
/
ATOMIC_SPECIES
Ce 140.12 Ce.upf
In 114.82 In.upf
Hg 200.59 Hg.upf
CELL_PARAMETERS angstrom
3.356 0.000 0.000
0.000 9.960 0.000
0.000 0.000 13.250
ATOMIC_POSITIONS angstrom
Ce 0.000 0.000 0.000
Ce 0.000 4.980 2.920
Ce 0.000 4.980 10.330
Ce 1.678 0.000 3.705
Ce 1.678 0.000 9.545
Ce 1.678 4.980 6.625
In 0.000 0.000 6.625
In 1.678 4.980 0.000
Hg 0.000 2.600 4.974
Hg 0.000 2.600 8.276
Hg 0.000 7.361 4.974
Hg 0.000 7.361 8.276
Hg 1.678 2.380 1.651
Hg 1.678 2.380 11.599
Hg 1.678 7.580 1.651
Hg 1.678 7.580 11.599

=====

# 3
! ReAsAu2 | Alexandria via LeMat-Bulk | PBE-GGA | optimized geometry; values from VASP
! calculated volume = 143.4 Å³ per cell
! space-group type = Cm, No. 8
! density of states at the Fermi level = 1.65 states/eV per cell
! total energy = -44.3 eV/cell
! calculated formation energy = 0.37 eV/atom
&SYSTEM
  ibrav = 0, nat = 8, ntyp = 3
/
ATOMIC_SPECIES
Re 186.21 Re.upf
As 74.92 As.upf
Au 196.97 Au.upf
CELL_PARAMETERS angstrom
9.562 0.000 0.000
0.000 3.091 0.000
-2.428 0.000 4.853
ATOMIC_POSITIONS angstrom
Re 0.000 0.000 0.000
Re 4.781 1.546 0.000
As 1.936 1.546 0.002
As 6.717 0.000 0.002
Au -0.869 1.546 2.137
Au 1.330 0.000 2.808
Au 3.912 0.000 2.137
Au 6.111 1.546 2.808